Density functional theory data (PBE) for an optimized crystal structure of Pm2Tl2Rh.

a b c (Å): 3.6236 3.6236 10.2865
angles (deg): 100.14 100.14 90.00
Last column: nearest neighbours and their distance in Å.
Fractional positions:
Pm1 0.5835 0.5835 0.1669  4 Rh 3.05, 1 Pm 3.33
Pm2 0.4165 0.4165 0.8331  4 Rh 3.05, 1 Pm 3.33
Tl1 0.7996 0.7996 0.5993  8 Tl 3.24-3.62, 4 Pm 3.46
Tl2 0.2004 0.2004 0.4007  8 Tl 3.24-3.62, 4 Pm 3.46
Rh1 0.0000 0.0000 0.0000  8 Pm 3.05

Space-group type: I4/mmm (139)
V: 26.2 Å³ per atom
ΔE_f: -397 meV/atom
Crystal system: tetragonal
Uncorrected energy: -4.71 eV per atom



Density functional theory data (PBE) for an optimized crystal structure of Pm3Tl2Rh3.

a b c (Å): 3.5011 5.0229 10.9824
angles (deg): 103.22 99.17 90.00
Last column: nearest neighbours and their distance in Å.
Fractional positions:
Pm1 0.6191 0.6191 0.2382  6 Rh 3.06, 2 Tl 3.36
Pm2 0.3809 0.3809 0.7618  6 Rh 3.06, 2 Tl 3.36
Pm3 0.5000 0.0000 0.0000  8 Rh 2.94-3.06
Tl1 0.7247 0.2247 0.4494  2 Rh 2.95, 4 Tl 3.24
Tl2 0.2753 0.7753 0.5506  2 Rh 2.95, 4 Tl 3.24
Rh1 0.1120 0.1120 0.2241  6 Pm 2.94-3.06, 2 Tl 2.95
Rh2 0.0000 0.5000 0.0000  8 Pm 3.06
Rh3 0.8880 0.8880 0.7759  6 Pm 2.94-3.06, 2 Tl 2.95

Space-group type: Immm (71)
V: 23.2 Å³ per atom
ΔE_f: -462 meV/atom
Crystal system: orthorhombic
Uncorrected energy: -5.59 eV per atom



Density functional theory data (PBE) for an optimized crystal structure of Pm4Tl2Rh.

a b c (Å): 3.7670 6.6997 9.2855
angles (deg): 110.87 90.00 90.00
Last column: nearest neighbours and their distance in Å.
Fractional positions:
Pm1 0.5000 0.2389 0.9175  2 Rh 2.83
Pm2 0.0000 0.4504 0.3172  1 Rh 2.74
Pm3 0.5000 0.9039 0.2254  2 Rh 2.83
Pm4 0.0000 0.6924 0.8257  1 Rh 2.74
Tl1 0.5000 0.3069 0.5699  2 Tl 3.17-3.53, 6 Pm 3.37-3.42
Tl2 0.5000 0.8359 0.5730  2 Tl 3.17-3.53, 6 Pm 3.37-3.42
Rh1 0.0000 0.0714 0.0715  6 Pm 2.74-2.83

Space-group type: P2/m (10)
V: 31.3 Å³ per atom
ΔE_f: -303 meV/atom
Crystal system: monoclinic
Uncorrected energy: -4.74 eV per atom
Offset from the most stable computed form: 11.47 kJ/mol of atoms



Density functional theory data (PBE) for an optimized crystal structure of Pm2TlRh.

a b c (Å): 5.2449 5.2449 5.2449
angles (deg): 60.00 60.00 60.00
Last column: nearest neighbours and their distance in Å.
Fractional positions:
Tl1 0.5000 0.5000 0.5000  8 Pm 3.21
Rh1 0.0000 0.0000 0.0000  8 Pm 3.21
Pm1 0.2500 0.2500 0.2500  4 Rh 3.21, 4 Tl 3.21
Pm2 0.7500 0.7500 0.7500  4 Tl 3.21, 4 Rh 3.21

Space-group type: Fm-3m (225)
V: 25.5 Å³ per atom
ΔE_f: -410 meV/atom
Crystal system: cubic
Uncorrected energy: -5.21 eV per atom
Offset from the most stable computed form: 11.34 kJ/mol of atoms



Density functional theory data (PBE) for an optimized crystal structure of Pm12TlRh6.

a b c (Å): 8.7855 8.7855 8.7855
angles (deg): 109.47 109.47 109.47
Last column: nearest neighbours and their distance in Å.
Fractional positions:
Pm1 0.3040 0.1174 0.8134  1 Rh 2.72
Pm2 0.3040 0.4906 0.1866  1 Rh 2.72
Pm3 0.6960 0.5094 0.8134  1 Rh 2.72
Pm4 0.6960 0.8826 0.1866  1 Rh 2.72
Pm5 0.1174 0.8134 0.3040  1 Rh 2.72
Pm6 0.4906 0.1866 0.3040  1 Rh 2.72
Pm7 0.5094 0.8134 0.6960  1 Rh 2.72
Pm8 0.8826 0.1866 0.6960  1 Rh 2.72
Pm9 0.8134 0.3040 0.1174  1 Rh 2.72
Pm10 0.1866 0.3040 0.4906  1 Rh 2.72
Pm11 0.8134 0.6960 0.5094  1 Rh 2.72
Pm12 0.1866 0.6960 0.8826  1 Rh 2.72
Tl1 0.0000 0.0000 0.0000  12 Pm 3.62
Rh1 0.3694 0.5000 0.8694  1 Rh 2.65, 2 Pm 2.72
Rh2 0.6306 0.5000 0.1306  1 Rh 2.65, 2 Pm 2.72
Rh3 0.5000 0.8694 0.3694  1 Rh 2.65, 2 Pm 2.72
Rh4 0.5000 0.1306 0.6306  1 Rh 2.65, 2 Pm 2.72
Rh5 0.8694 0.3694 0.5000  1 Rh 2.65, 2 Pm 2.72
Rh6 0.1306 0.6306 0.5000  1 Rh 2.65, 2 Pm 2.72

Space-group type: Im-3 (204)
V: 27.5 Å³ per atom
ΔE_f: -521 meV/atom
Crystal system: cubic
Uncorrected energy: -5.97 eV per atom
Offset from the most stable computed form: 0.00 kJ/mol of atoms



Density functional theory data (PBE) for an optimized crystal structure of Pm4TlRh.

a b c (Å): 9.9210 9.9210 9.9210
angles (deg): 60.00 60.00 60.00
Last column: nearest neighbours and their distance in Å.
Fractional positions:
Pm1 0.4007 0.4007 0.4007  3 Rh 2.91
Pm2 0.7979 0.4007 0.4007  3 Rh 2.91
Pm3 0.4007 0.7979 0.4007  3 Rh 2.91
Pm4 0.4007 0.4007 0.7979  3 Rh 2.91
Pm5 0.5598 0.5598 0.9402  2 Rh 2.90
Pm6 0.9402 0.9402 0.5598  2 Rh 2.90
Pm7 0.5598 0.9402 0.5598  2 Rh 2.90
Pm8 0.9402 0.5598 0.9402  2 Rh 2.90
Pm9 0.9402 0.5598 0.5598  2 Rh 2.90
Pm10 0.5598 0.9402 0.9402  2 Rh 2.90
Pm11 0.1898 0.1898 0.8102  2 Tl 3.30, 2 Pm 3.55, 2 Rh 3.55
Pm12 0.8102 0.8102 0.1898  2 Tl 3.30, 2 Pm 3.55, 2 Rh 3.55
Pm13 0.1898 0.8102 0.1898  2 Tl 3.30, 2 Pm 3.55, 2 Rh 3.55
Pm14 0.8102 0.1898 0.8102  2 Tl 3.30, 2 Pm 3.55, 2 Rh 3.55
Pm15 0.8102 0.1898 0.1898  2 Tl 3.30, 2 Pm 3.55, 2 Rh 3.55
Pm16 0.1898 0.8102 0.8102  2 Tl 3.30, 2 Pm 3.55, 2 Rh 3.55
Tl1 0.1654 0.1654 0.1654  9 Pm 3.30-3.58, 3 Tl 3.36
Tl2 0.5038 0.1654 0.1654  9 Pm 3.30-3.58, 3 Tl 3.36
Tl3 0.1654 0.5038 0.1654  9 Pm 3.30-3.58, 3 Tl 3.36
Tl4 0.1654 0.1654 0.5038  9 Pm 3.30-3.58, 3 Tl 3.36
Rh1 0.6078 0.6078 0.6078  6 Pm 2.90-2.91
Rh2 0.1767 0.6078 0.6078  6 Pm 2.90-2.91
Rh3 0.6078 0.1767 0.6078  6 Pm 2.90-2.91
Rh4 0.6078 0.6078 0.1767  6 Pm 2.90-2.91

Space-group type: F-43m (216)
V: 28.8 Å³ per atom
ΔE_f: -452 meV/atom
Crystal system: cubic
Uncorrected energy: -5.24 eV per atom
Offset from the most stable computed form: 0.00 kJ/mol of atoms



Density functional theory data (PBE) for an optimized crystal structure of Pm2TlRh.

a b c (Å): 3.5865 3.5865 7.9622
angles (deg): 90.00 90.00 90.00
Last column: nearest neighbours and their distance in Å.
Fractional positions:
Tl1 0.5000 0.5000 0.5000  8 Pm 3.41, 4 Tl 3.59
Rh1 0.5000 0.5000 0.0000  8 Pm 3.05
Pm1 0.0000 0.0000 0.7869  4 Rh 3.05, 1 Pm 3.39, 4 Tl 3.41
Pm2 0.0000 0.0000 0.2131  4 Rh 3.05, 1 Pm 3.39, 4 Tl 3.41

Space-group type: P4/mmm (123)
V: 25.6 Å³ per atom
ΔE_f: -528 meV/atom
Crystal system: tetragonal
Uncorrected energy: -5.33 eV per atom
Offset from the most stable computed form: 0.00 kJ/mol of atoms



Density functional theory data (PBE) for an optimized crystal structure of Pm4Tl2Rh.

a b c (Å): 4.8167 6.2453 7.8153
angles (deg): 78.19 72.05 67.32
Last column: nearest neighbours and their distance in Å.
Fractional positions:
Pm1 0.0728 0.2109 0.6435  1 Rh 2.81
Pm2 0.9272 0.7891 0.3565  1 Rh 2.81
Pm3 0.3310 0.2814 0.0566  2 Rh 2.96, 2 Tl 3.20
Pm4 0.6690 0.7186 0.9434  2 Rh 2.96, 2 Tl 3.20
Tl1 0.3444 0.6394 0.6717  1 Tl 3.15, 8 Pm 3.20-3.47, 1 Rh 3.36
Tl2 0.6556 0.3606 0.3283  1 Tl 3.15, 8 Pm 3.20-3.47, 1 Rh 3.36
Rh1 0.0000 0.0000 0.0000  6 Pm 2.81-2.96

Space-group type: C2/m (12)
V: 29.3 Å³ per atom
ΔE_f: -422 meV/atom
Crystal system: monoclinic
Uncorrected energy: -4.86 eV per atom
Offset from the most stable computed form: 0.00 kJ/mol of atoms